[1]
This record from Alexandria describes crystalline Zr2AlPb at its relaxed geometry. The functional is GGA-PBEsol.

```
data_Zr2AlPb
_symmetry_space_group_name_H-M 'P 4/m m m'
_symmetry_Int_Tables_number 123
_symmetry_space_group_name_Hall '-P 4 2'
_cell_length_a 3.123
_cell_length_b 3.123
_cell_length_c 8.546
_cell_angle_alpha 90.00
_cell_angle_beta 90.00
_cell_angle_gamma 90.00
loop_
_atom_site_label
_atom_site_fract_x
_atom_site_fract_y
_atom_site_fract_z
Zr1 0.000 0.000 0.225
Al1 0.500 0.500 0.000
Pb1 0.500 0.500 0.500
```

E_tot: -6.88 eV per atom
Formation enthalpy at 0 K: -1.3 eV per formula unit

[2]
This record from Alexandria describes crystalline Na2ReC at its relaxed geometry. The functional is GGA-PBEsol.

```
data_Na2ReC
_symmetry_space_group_name_H-M 'I -4 2 d'
_symmetry_Int_Tables_number 122
_symmetry_space_group_name_Hall 'I -4 2bw'
_cell_length_a 10.072
_cell_length_b 10.072
_cell_length_c 3.917
_cell_angle_alpha 90.00
_cell_angle_beta 90.00
_cell_angle_gamma 90.00
loop_
_atom_site_label
_atom_site_fract_x
_atom_site_fract_y
_atom_site_fract_z
Na1 0.065 0.750 0.125
Re1 0.000 0.000 0.500
C1 0.000 0.000 0.000
```

E_tot: -5.26 eV per atom
Formation enthalpy at 0 K: 4.7 eV per formula unit

[3]
This record from Alexandria describes crystalline Cd2TcSe at its relaxed geometry. The functional is GGA-PBEsol.

```
data_Cd2TcSe
_symmetry_space_group_name_H-M 'C m m 2'
_symmetry_Int_Tables_number 35
_symmetry_space_group_name_Hall 'C 2 -2'
_cell_length_a 3.002
_cell_length_b 4.959
_cell_length_c 10.476
_cell_angle_alpha 90.00
_cell_angle_beta 90.00
_cell_angle_gamma 90.00
loop_
_atom_site_label
_atom_site_fract_x
_atom_site_fract_y
_atom_site_fract_z
Cd1 0.000 0.000 0.000
Cd2 0.000 0.500 0.267
Tc1 0.000 0.500 0.770
Se1 0.000 0.000 0.589
```

E_tot: -4.14 eV per atom
ΔE_f (raw): 0.951 eV per formula unit

[4]
This record from Alexandria describes crystalline Cd3Ru at its relaxed geometry. The functional is GGA-PBEsol.

```
data_Cd3Ru
_symmetry_space_group_name_H-M 'F m -3 m'
_symmetry_Int_Tables_number 225
_symmetry_space_group_name_Hall '-F 4 2 3'
_cell_length_a 6.545
_cell_length_b 6.545
_cell_length_c 6.545
_cell_angle_alpha 90.00
_cell_angle_beta 90.00
_cell_angle_gamma 90.00
loop_
_atom_site_label
_atom_site_fract_x
_atom_site_fract_y
_atom_site_fract_z
Cd1 0.000 0.000 0.000
Cd2 0.250 0.250 0.250
Ru1 0.000 0.000 0.500
```

E_tot: -3.16 eV per atom
Formation enthalpy at 0 K: 1.1 eV per formula unit

[5]
This record from Alexandria describes crystalline Zn2PbBr at its relaxed geometry. The functional is GGA-PBEsol.

```
data_Zn2PbBr
_symmetry_space_group_name_H-M 'F m -3 m'
_symmetry_Int_Tables_number 225
_symmetry_space_group_name_Hall '-F 4 2 3'
_cell_length_a 7.144
_cell_length_b 7.144
_cell_length_c 7.144
_cell_angle_alpha 90.00
_cell_angle_beta 90.00
_cell_angle_gamma 90.00
loop_
_atom_site_label
_atom_site_fract_x
_atom_site_fract_y
_atom_site_fract_z
Zn1 0.250 0.250 0.250
Pb1 0.000 0.000 0.000
Br1 0.000 0.000 0.500
```

E_tot: -2.00 eV per atom
ΔE_f (raw): 1.031 eV per formula unit
E above lowest polymorph: 265 meV per atom

[6]
This record from Alexandria describes crystalline YZrFe4 at its relaxed geometry. The functional is GGA-PBEsol.

```
data_YZrFe4
_symmetry_space_group_name_H-M 'F -4 3 m'
_symmetry_Int_Tables_number 216
_symmetry_space_group_name_Hall 'F -4 2 3'
_cell_length_a 7.017
_cell_length_b 7.017
_cell_length_c 7.017
_cell_angle_alpha 90.00
_cell_angle_beta 90.00
_cell_angle_gamma 90.00
loop_
_atom_site_label
_atom_site_fract_x
_atom_site_fract_y
_atom_site_fract_z
Y1 0.000 0.000 0.000
Zr1 0.250 0.250 0.250
Fe1 0.125 0.125 0.625
```

E_tot: -8.79 eV per atom
Formation enthalpy at 0 K: -1.0 eV per formula unit

[7]
This record from Alexandria describes crystalline MnCd2Ni at its relaxed geometry. The functional is GGA-PBEsol.

```
data_MnCd2Ni
_symmetry_space_group_name_H-M 'C m m m'
_symmetry_Int_Tables_number 65
_symmetry_space_group_name_Hall '-C 2 2'
_cell_length_a 5.694
_cell_length_b 7.499
_cell_length_c 2.923
_cell_angle_alpha 90.00
_cell_angle_beta 90.00
_cell_angle_gamma 90.00
loop_
_atom_site_label
_atom_site_fract_x
_atom_site_fract_y
_atom_site_fract_z
Mn1 0.000 0.000 0.000
Cd1 0.250 0.250 0.500
Ni1 0.000 0.500 0.000
```

E_tot: -4.31 eV per atom
Formation enthalpy at 0 K: 1.1 eV per formula unit
E above lowest polymorph: 73 meV per atom

[8]
This record from Alexandria describes crystalline KHf2NbS at its relaxed geometry. The functional is GGA-PBEsol.

```
data_KHf2NbS
_symmetry_space_group_name_H-M 'P 4/m m m'
_symmetry_Int_Tables_number 123
_symmetry_space_group_name_Hall '-P 4 2'
_cell_length_a 4.731
_cell_length_b 4.731
_cell_length_c 4.830
_cell_angle_alpha 90.00
_cell_angle_beta 90.00
_cell_angle_gamma 90.00
loop_
_atom_site_label
_atom_site_fract_x
_atom_site_fract_y
_atom_site_fract_z
K1 0.000 0.000 0.000
Hf1 0.000 0.500 0.000
Nb1 0.500 0.500 0.500
S1 0.000 0.000 0.500
```

E_tot: -5.39 eV per atom
ΔE_f (raw): 10.399 eV per formula unit

[9]
This record from Alexandria describes crystalline CaLaSc2 at its relaxed geometry. The functional is GGA-PBEsol.

```
data_CaLaSc2
_symmetry_space_group_name_H-M 'C m m m'
_symmetry_Int_Tables_number 65
_symmetry_space_group_name_Hall '-C 2 2'
_cell_length_a 6.967
_cell_length_b 9.559
_cell_length_c 3.483
_cell_angle_alpha 90.00
_cell_angle_beta 90.00
_cell_angle_gamma 90.00
loop_
_atom_site_label
_atom_site_fract_x
_atom_site_fract_y
_atom_site_fract_z
Ca1 0.000 0.000 0.000
La1 0.000 0.500 0.000
Sc1 0.250 0.250 0.500
```

E_tot: -5.00 eV per atom
Formation enthalpy at 0 K: 0.7 eV per formula unit
E above lowest polymorph: 0 meV per atom

[10]
This record from Alexandria describes crystalline ZnMoPbBr2 at its relaxed geometry. The functional is GGA-PBEsol.

```
data_ZnMoPbBr2
_symmetry_space_group_name_H-M 'P 4/m m m'
_symmetry_Int_Tables_number 123
_symmetry_space_group_name_Hall '-P 4 2'
_cell_length_a 4.942
_cell_length_b 4.942
_cell_length_c 5.361
_cell_angle_alpha 90.00
_cell_angle_beta 90.00
_cell_angle_gamma 90.00
loop_
_atom_site_label
_atom_site_fract_x
_atom_site_fract_y
_atom_site_fract_z
Zn1 0.000 0.000 0.000
Mo1 0.000 0.000 0.500
Pb1 0.500 0.500 0.500
Br1 0.000 0.500 0.000
```

E_tot: -3.39 eV per atom
ΔE_f (raw): 4.118 eV per formula unit

[11]
This record from Alexandria describes crystalline K2SiRh at its relaxed geometry. The functional is GGA-PBEsol.

```
data_K2SiRh
_symmetry_space_group_name_H-M 'P 4/m m m'
_symmetry_Int_Tables_number 123
_symmetry_space_group_name_Hall '-P 4 2'
_cell_length_a 3.879
_cell_length_b 3.879
_cell_length_c 5.383
_cell_angle_alpha 90.00
_cell_angle_beta 90.00
_cell_angle_gamma 90.00
loop_
_atom_site_label
_atom_site_fract_x
_atom_site_fract_y
_atom_site_fract_z
K1 0.000 0.500 0.000
Si1 0.000 0.000 0.500
Rh1 0.500 0.500 0.500
```

E_tot: -3.44 eV per atom
ΔE_f (raw): 2.404 eV per formula unit

[12]
This record from Alexandria describes crystalline SiRuPt3 at its relaxed geometry. The functional is GGA-PBEsol.

```
data_SiRuPt3
_symmetry_space_group_name_H-M 'P m -3 m'
_symmetry_Int_Tables_number 221
_symmetry_space_group_name_Hall '-P 4 2 3'
_cell_length_a 4.427
_cell_length_b 4.427
_cell_length_c 4.427
_cell_angle_alpha 90.00
_cell_angle_beta 90.00
_cell_angle_gamma 90.00
loop_
_atom_site_label
_atom_site_fract_x
_atom_site_fract_y
_atom_site_fract_z
Si1 0.000 0.000 0.000
Ru1 0.500 0.500 0.500
Pt1 0.000 0.000 0.500
```

E_tot: -6.58 eV per atom
ΔE_f (raw): 3.916 eV per formula unit

[13]
This record from Alexandria describes crystalline TaSbCl at its relaxed geometry. The functional is GGA-PBEsol.

```
data_TaSbCl
_symmetry_space_group_name_H-M 'F m m 2'
_symmetry_Int_Tables_number 42
_symmetry_space_group_name_Hall 'F 2 -2'
_cell_length_a 3.435
_cell_length_b 5.018
_cell_length_c 15.143
_cell_angle_alpha 90.00
_cell_angle_beta 90.00
_cell_angle_gamma 90.00
loop_
_atom_site_label
_atom_site_fract_x
_atom_site_fract_y
_atom_site_fract_z
Ta1 0.000 0.000 0.000
Sb1 0.000 0.000 0.348
Cl1 0.000 0.000 0.623
```

E_tot: -6.53 eV per atom
ΔE_f (raw): -0.459 eV per formula unit

[14]
This record from Alexandria describes crystalline CaMg4Mo at its relaxed geometry. The functional is GGA-PBEsol.

```
data_CaMg4Mo
_symmetry_space_group_name_H-M 'F -4 3 m'
_symmetry_Int_Tables_number 216
_symmetry_space_group_name_Hall 'F -4 2 3'
_cell_length_a 8.148
_cell_length_b 8.148
_cell_length_c 8.148
_cell_angle_alpha 90.00
_cell_angle_beta 90.00
_cell_angle_gamma 90.00
loop_
_atom_site_label
_atom_site_fract_x
_atom_site_fract_y
_atom_site_fract_z
Ca1 0.000 0.000 0.000
Mg1 0.124 0.124 0.376
Mo1 0.250 0.250 0.750
```

E_tot: -3.02 eV per atom
Formation enthalpy at 0 K: 2.6 eV per formula unit